{"formula": "LaPr2Co2C2N3", "functional": "PBE", "state": "optimized geometry", "space_group": "I4/mmm (139)", "e_tot_ev_per_atom": -7.93, "crystal_system": "tetragonal", "total_magnetization_mub_per_fu": 0.0, "volume_a3_per_atom": 13.2, "lattice_angstrom": [[-1.809, 1.809, 10.050], [1.809, -1.809, 10.050], [1.809, 1.809, -10.050]], "species": ["La", "Pr", "Pr", "Co", "Co", "C", "C", "N", "N", "N"], "frac_coords": [[0.000, 0.000, 0.000], [0.369, 0.369, 0.000], [0.631, 0.631, 0.000], [0.250, 0.750, 0.500], [0.750, 0.250, 0.500], [0.197, 0.197, 0.000], [0.803, 0.803, 0.000], [0.127, 0.127, 0.000], [0.500, 0.500, 0.000], [0.873, 0.873, 0.000]]}

{"formula": "SmUBe", "functional": "PBE", "state": "optimized geometry", "space_group": "F-43m (216)", "e_tot_ev_per_atom": -5.78, "crystal_system": "cubic", "total_magnetization_mub_per_fu": 2.6, "de_polymorph_mev_per_atom": 0, "volume_a3_per_atom": 23.8, "lattice_angstrom": [[0.000, 3.294, 3.294], [3.294, 0.000, 3.294], [3.294, 3.294, 0.000]], "species": ["Sm", "U", "Be"], "frac_coords": [[0.000, 0.000, 0.000], [0.500, 0.500, 0.500], [0.250, 0.250, 0.250]]}